Below is crystalline Na2Sn2Se5 at its relaxed geometry, with properties calculated at the PBE level.

The structure in CIF format:
```
data_Na2Sn2Se5
_space_group_name_H-M_alt 'I m a 2'
_space_group_IT_number 46
_space_group_name_Hall 'I 2 -2a'
_cell_length_a 18.100
_cell_length_b 7.699
_cell_length_c 7.315
_cell_angle_alpha 90.00
_cell_angle_beta 90.00
_cell_angle_gamma 90.00
loop_
_atom_site_label
_atom_site_fract_x
_atom_site_fract_y
_atom_site_fract_z
Na1 0.097 0.030 0.000
Sn1 0.000 0.000 0.514
Sn2 0.250 0.586 0.980
Se1 0.038 0.739 0.772
Se2 0.143 0.103 0.598
Se3 0.250 0.598 0.614
```

Calculated values
total magnetic moment	0.0	μB per cell
relative energy among the computed polymorphs	0.072	eV/atom
DFT total energy	-3.673	eV/atom
raw formation energy	-54	kJ per mole of atoms
Fermi-level density of states	5.63	states/eV per cell